[1]
A geometry-optimized CeTh3Pt3 structure, computed with GGA-PBE.

Cell and atoms, written as extended XYZ:
```
28
Lattice="12.8022 0.0000 0.0000 0.0000 4.0543 0.0000 0.0000 0.0000 14.4253" Properties=species:S:1:pos:R:3 pbc="T T T"
Ce 0.1535 1.0136 2.6731
Ce 6.2476 3.0407 9.8858
Ce 6.5545 1.0136 4.5395
Ce 12.6487 3.0407 11.7522
Th 0.5165 1.0136 8.7675
Th 2.4056 3.0407 0.5600
Th 3.1539 3.0407 4.4582
Th 3.2472 1.0136 11.6709
Th 3.9955 1.0136 7.7727
Th 5.8845 3.0407 1.5549
Th 6.9176 1.0136 12.8705
Th 8.8067 3.0407 6.6526
Th 9.5550 3.0407 2.7544
Th 9.6483 1.0136 9.9671
Th 10.3966 1.0136 13.8653
Th 12.2856 3.0407 5.6578
Pt 0.8362 1.0136 13.6167
Pt 1.5693 1.0136 5.9459
Pt 2.5561 3.0407 9.6690
Pt 3.8450 1.0136 2.4563
Pt 4.8317 3.0407 13.1585
Pt 5.5649 3.0407 6.4040
Pt 7.2373 1.0136 8.0213
Pt 7.9704 1.0136 1.2668
Pt 8.9572 3.0407 11.9690
Pt 10.2460 1.0136 4.7563
Pt 11.2328 3.0407 8.4795
Pt 11.9660 3.0407 0.8086
```

- SG = Pnma, No. 62

***

[2]
A geometry-optimized Ce2TiPt9 structure, computed with GGA-PBE.

Cell and atoms, written as extended XYZ:
```
12
Lattice="4.1060 0.0000 0.0000 0.0000 4.1060 0.0000 0.0000 0.0000 12.2746" Properties=species:S:1:pos:R:3 pbc="T T T"
Ce 0.0000 0.0000 2.1082
Ce 0.0000 0.0000 10.1664
Ti 0.0000 0.0000 6.1373
Pt 0.0000 2.0530 0.0000
Pt 0.0000 2.0530 4.2657
Pt 0.0000 2.0530 8.0089
Pt 2.0530 0.0000 0.0000
Pt 2.0530 0.0000 4.2657
Pt 2.0530 0.0000 8.0089
Pt 2.0530 2.0530 2.1420
Pt 2.0530 2.0530 6.1373
Pt 2.0530 2.0530 10.1326
```

- SG = P4/mmm, No. 123

***

[3]
A geometry-optimized CeTiPt structure, computed with GGA-PBE.

Cell and atoms, written as extended XYZ:
```
6
Lattice="0.0000 3.3690 6.4926 3.0883 0.0000 6.4926 3.0883 3.3690 0.0000" Properties=species:S:1:pos:R:3 pbc="T T T"
Ce 3.0883 1.3525 6.4926
Ce 3.0883 5.3856 6.4926
Ti 1.5441 1.6845 3.2463
Ti 4.6324 5.0535 9.7388
Pt 3.0883 3.3690 4.4580
Pt 3.0883 3.3690 8.5271
```

- SG = Fmmm, No. 69

***

[4]
A geometry-optimized Ce2TiPt structure, computed with GGA-PBE.

Cell and atoms, written as extended XYZ:
```
4
Lattice="1.4905 0.8605 10.6075 -1.4905 0.8605 10.6075 0.0000 -1.7211 10.6075" Properties=species:S:1:pos:R:3 pbc="T T T"
Ce 0.0000 0.0000 2.7428
Ce 0.0000 0.0000 29.0797
Ti 0.0000 0.0000 0.0000
Pt 0.0000 0.0000 15.9113
```

- SG = R-3m, No. 166

***

[5]
A geometry-optimized CeTiPt structure, computed with GGA-PBE.

Cell and atoms, written as extended XYZ:
```
3
Lattice="4.3607 0.0000 0.0000 -2.1803 3.7764 0.0000 0.0000 0.0000 4.1227" Properties=species:S:1:pos:R:3 pbc="T T T"
Ce 0.0000 0.0000 0.0000
Ti 0.0000 2.5176 2.0204
Pt 2.1803 1.2588 2.2197
```

- SG = P3m1, No. 156

***

[6]
A geometry-optimized Ce3TiPt12 structure, computed with GGA-PBE.

Cell and atoms, written as extended XYZ:
```
16
Lattice="4.1223 0.0000 0.0000 0.0000 4.1223 0.0000 0.0000 0.0000 16.4457" Properties=species:S:1:pos:R:3 pbc="T T T"
Ce 0.0000 0.0000 0.0000
Ce 0.0000 0.0000 4.2109
Ce 0.0000 0.0000 12.2349
Ti 0.0000 0.0000 8.2229
Pt 0.0000 2.0612 2.1107
Pt 0.0000 2.0612 6.3600
Pt 0.0000 2.0612 10.0857
Pt 0.0000 2.0612 14.3350
Pt 2.0612 0.0000 2.1107
Pt 2.0612 0.0000 6.3600
Pt 2.0612 0.0000 10.0857
Pt 2.0612 0.0000 14.3350
Pt 2.0612 2.0612 0.0000
Pt 2.0612 2.0612 4.2458
Pt 2.0612 2.0612 8.2229
Pt 2.0612 2.0612 12.1999
```

- SG = P4/mmm, No. 123

***

[7]
A geometry-optimized CeTiPt2 structure, computed with GGA-PBE.

Cell and atoms, written as extended XYZ:
```
4
Lattice="2.2078 1.2747 4.8903 -2.2078 1.2747 4.8903 0.0000 -2.5494 4.8903" Properties=species:S:1:pos:R:3 pbc="T T T"
Ce 0.0000 0.0000 0.0000
Ti 0.0000 0.0000 7.3355
Pt 0.0000 0.0000 3.1404
Pt 0.0000 0.0000 11.5305
```

- SG = R-3m, No. 166

***

[8]
A geometry-optimized CeTiPt2 structure, computed with GGA-PBE.

Cell and atoms, written as extended XYZ:
```
4
Lattice="3.1986 0.0000 0.0000 0.0000 3.1986 0.0000 0.0000 0.0000 7.3372" Properties=species:S:1:pos:R:3 pbc="T T T"
Ce 0.0000 0.0000 0.0000
Ti 0.0000 0.0000 3.6686
Pt 1.5993 1.5993 2.1902
Pt 1.5993 1.5993 5.1470
```

- SG = P4/mmm, No. 123

***

| no. | calculated total energy (eV per atom) |
| --- | --- |
| 1 | -7.582 |
| 2 | -7.099 |
| 3 | -7.066 |
| 4 | -6.508 |
| 5 | -7.143 |
| 6 | -7.073 |
| 7 | -7.412 |
| 8 | -7.390 |